VASP calculation (PBE) on crystalline CsHgN2F at its relaxed geometry.

Calculated values
* offset from the most stable computed form: 919 meV per atom

Cell: 5.014 5.014 5.243 Å, 90.00 90.00 90.00°
Space group P4/mmm (No. 123)
Asymmetric unit:
Cs: 0.000 0.000 0.000
Hg: 0.500 0.500 0.500
N: 0.000 0.500 0.000
F: 0.000 0.000 0.500

---

VASP calculation (PBE) on crystalline CsHgNF2 at its relaxed geometry.

Calculated values
* offset from the most stable computed form: 0 meV per atom

Cell: 5.013 5.013 4.228 Å, 90.00 90.00 90.00°
Space group P4/mmm (No. 123)
Asymmetric unit:
Cs: 0.000 0.000 0.000
Hg: 0.500 0.500 0.500
N: 0.500 0.500 0.000
F: 0.000 0.500 0.500

---

VASP calculation (PBE) on crystalline CsHgN2F at its relaxed geometry.

Calculated values
* offset from the most stable computed form: 0 meV per atom

Cell: 4.395 4.395 5.433 Å, 90.00 90.00 90.00°
Space group P4/mmm (No. 123)
Asymmetric unit:
Cs: 0.000 0.000 0.000
Hg: 0.500 0.500 0.500
N: 0.000 0.500 0.500
F: 0.500 0.500 0.000

---

VASP calculation (PBE) on crystalline CsNaHgF6 at its relaxed geometry.

Cell: 5.994 10.428 6.324 Å, 90.00 90.16 90.00°
Space group C2 (No. 5)
Asymmetric unit:
Cs: 0.000 0.000 0.000
Na: 0.000 0.334 0.500
Hg: 0.000 0.666 0.500
F: 0.124 0.514 0.310
F: 0.165 0.806 0.311
F: 0.206 0.180 0.312

---

VASP calculation (PBE) on crystalline Cs2NaHg2F6 at its relaxed geometry.

Cell: 11.610 6.775 7.382 Å, 90.00 119.38 90.00°
Space group C2/m (No. 12)
Asymmetric unit:
Cs: 0.212 0.000 0.164
Na: 0.000 0.000 0.500
Hg: 0.063 0.500 0.214
F: 0.055 0.240 0.770
F: 0.224 0.000 0.574

---

VASP calculation (PBE) on crystalline Cs2NaHgF at its relaxed geometry.

Calculated values
* offset from the most stable computed form: 0 meV per atom

Cell: 6.216 6.216 5.055 Å, 90.00 90.00 90.00°
Space group P4/mmm (No. 123)
Asymmetric unit:
Cs: 0.000 0.500 0.000
Na: 0.000 0.000 0.500
Hg: 0.500 0.500 0.500
F: 0.000 0.000 0.000

---

VASP calculation (PBE) on crystalline Cs3Na3HgF8 at its relaxed geometry.

Cell: 7.3504 7.3504 19.8816 Å, 90.00 90.00 120.00°
Space group R-3m (No. 166, hexagonal axes)
Asymmetric unit:
Cs: 0.0000 0.5000 0.0000
Na: 0.0000 0.5000 0.5000
Hg: 0.0000 0.0000 0.5000
F: 0.0000 0.0000 0.2303
F: 0.0122 0.5061 0.2270

---

VASP calculation (PBE) on crystalline Cs3NaHg2F9 at its relaxed geometry.

Cell: 6.5017 6.5017 7.9748 Å, 90.00 90.00 120.00°
Space group P-3m1 (No. 164)
Asymmetric unit:
Cs: 0.0000 0.0000 0.0000
Cs: 0.3333 0.6667 0.6554
Na: 0.0000 0.0000 0.5000
Hg: 0.3333 0.6667 0.1699
F: 0.0000 0.5000 0.0000
F: 0.1681 0.3361 0.3258

---

Calculated values (meV per atom) of formation energy from raw total energies for the records, taken in order: 1548, -712, 629, -1802, -1984, -1044, -2392, -2125.